# InNi3

A relaxed InNi3 crystal (PBE, Alexandria via LeMat-Bulk). Values from VASP.

Summary:
- D(E_F) (states/eV/cell) = 4.68
- E_form (eV/atom) = 0.153
- total magnetization (μB per cell) = 0.00

Geometry as Quantum ESPRESSO input:
```
&SYSTEM
  ibrav = 0, nat = 4, ntyp = 2
/
ATOMIC_SPECIES
In 114.82 In.upf
Ni 58.69 Ni.upf
CELL_PARAMETERS angstrom
4.145 2.393 0.900
-4.145 2.393 0.900
0.000 -4.786 0.900
ATOMIC_POSITIONS angstrom
In 0.000 0.000 0.000
Ni -2.072 -1.196 0.900
Ni -2.072 1.196 1.800
Ni 0.000 2.393 0.900
```

---

# In4Ni

A relaxed In4Ni crystal (PBE, Alexandria via LeMat-Bulk). Values from VASP.

Summary:
- D(E_F) (states/eV/cell) = 1.76
- E_form (eV/atom) = 0.019
- total magnetization (μB per cell) = 0.00

Geometry as Quantum ESPRESSO input:
```
&SYSTEM
  ibrav = 0, nat = 5, ntyp = 2
/
ATOMIC_SPECIES
In 114.82 In.upf
Ni 58.69 Ni.upf
CELL_PARAMETERS angstrom
-4.353 4.353 1.521
4.353 -4.353 1.521
4.353 4.353 -1.521
ATOMIC_POSITIONS angstrom
In 6.402 0.230 0.000
In 0.230 2.305 0.000
In 4.124 2.049 1.521
In -2.049 4.124 1.521
Ni 0.000 0.000 1.521
```